VASP calculation (PBE+U) on Y2NiO after structural relaxation.

Computed properties:
SG: R-3m, No. 166
D(E_F) (states/eV per cell): 2.43
Total DFT energy (no corrections) (eV/atom): -5.734

Unit cell a=3.377 b=3.377 c=7.967 alpha=77.77 beta=77.77 gamma=60.00
Sites, in units of the cell vectors:
Y1 0.106 0.106 0.681
Y2 0.894 0.894 0.319
Ni1 0.000 0.000 0.000
O1 0.500 0.500 0.500